(1)
BeTlCd2Tc | PBE | optimized geometry

Calculated values
The value obtained for the energy of formation is 1.467 eV per atom. For the spin magnetization, the calculation gives 3.9 μB per cell.

a = 5.459 Å, b = 5.459 Å, c = 4.453 Å
α = 90.00°, β = 90.00°, γ = 90.00°
Space group P4/mmm (No. 123)
Inequivalent atoms, fractional coordinates:
Be 0.000 0.000 0.000 [1 per cell]
Tl 0.000 0.000 0.500 [1 per cell]
Cd 0.000 0.500 0.500 [2 per cell]
Tc 0.500 0.500 0.000 [1 per cell]

=====

(2)
BeCdTe2 | PBE | optimized geometry

Calculated values
The excess energy over the best structure of this formula in the dataset is 358 meV per atom. For the spin magnetization, the calculation gives 0.0 μB per cell. Its energy relative to the elements, uncorrected is -0.122 eV per formula unit.

a = 10.465 Å, b = 3.857 Å, c = 13.119 Å
α = 90.00°, β = 124.22°, γ = 90.00°
Space group P2_1/c (No. 14)
Inequivalent atoms, fractional coordinates:
Be 0.040 0.240 0.454 [4 per cell]
Cd 0.136 0.535 0.305 [4 per cell]
Te 0.203 0.739 0.562 [4 per cell]
Te 0.404 0.504 0.874 [4 per cell]

=====

(3)
BeCdTe | PBE | optimized geometry

Calculated values
The excess energy over the best structure of this formula in the dataset is 0 meV per atom. For the spin magnetization, the calculation gives 0.0 μB per cell. Its energy relative to the elements, uncorrected is 0.233 eV per formula unit.

a = 3.8609 Å, b = 3.8609 Å, c = 5.2481 Å
α = 90.00°, β = 90.00°, γ = 120.00°
Space group P3m1 (No. 156)
Inequivalent atoms, fractional coordinates:
Be 0.0000 0.0000 0.0000 [1 per cell]
Cd 0.6667 0.3333 0.3303 [1 per cell]
Te 0.3333 0.6667 0.8082 [1 per cell]